1.
## Ho2MnI8 (PBE)

Data for a relaxed structure of Ho2MnI8.

Geometry as extended XYZ:
```
11
Lattice="0.4929 4.0187 -0.3341 0.0271 -0.9275 -11.1163 -11.0007 -0.7470 -0.5158" Properties=species:S:1:pos:R:3 pbc="T T T"
I -10.4433 2.5074 -9.9471
I -5.2261 0.3427 -3.5880
I -2.6293 1.4598 -11.0206
I -8.6493 0.6205 -5.2974
I -0.0375 -0.1633 -2.0191
I -5.2546 2.0014 -8.3782
I -7.8515 0.8844 -0.9456
I -1.8314 1.7237 -6.6688
Mn 0.2465 2.0093 -0.1670
Ho -7.2766 2.6555 -3.4938
Ho -3.2041 -0.3114 -8.4724
```

Its volume is 491.05 Å³ per cell. The magnetic moment is 5.00 μB/f.u. For the energy, the calculation gives -3.883 eV/atom.

2.
## HoMnI (PBE)

Data for a relaxed structure of HoMnI.

Geometry as extended XYZ:
```
6
Lattice="-2.2092 3.1820 -0.2053 -1.1562 -3.0298 2.1288 7.8905 3.7671 9.5951" Properties=species:S:1:pos:R:3 pbc="T T T"
Mn 2.9871 2.4161 5.0349
Mn 1.5380 1.5032 6.4837
I -0.4799 -0.1169 3.0814
I 5.0050 4.0362 8.4372
Ho 0.1924 2.7754 4.0288
Ho 4.3327 1.1439 7.4899
```

Its volume is 166.67 Å³ per cell. The magnetic moment is 0.00 μB/f.u. The density of states at the Fermi level comes out at 0.50 states/eV per atom. For the energy, the calculation gives -5.753 eV/atom.

3.
## RbHoMnI6 (PBE)

Data for a relaxed structure of RbHoMnI6.

Geometry as extended XYZ:
```
18
Lattice="7.6966 0.0000 0.0000 -3.8483 6.6654 0.0000 0.0000 0.0000 16.5886" Properties=species:S:1:pos:R:3 pbc="T T T"
I -2.3647 4.2335 14.1537
I -1.3643 2.5007 10.7293
I 6.2130 2.4319 2.4350
I 2.8479 0.0688 2.4350
I -1.0004 6.5966 10.7293
I 1.4835 2.4319 5.8594
I 1.3643 2.5007 14.1537
I 1.0004 6.5966 14.1537
I 2.3647 4.2335 10.7293
I 4.8487 0.0688 5.8594
I 5.2126 4.1647 5.8594
I 2.4840 4.1647 2.4350
Rb 0.0000 0.0000 0.0000
Rb 0.0000 0.0000 8.2943
Mn 3.8483 2.2218 4.1472
Mn 0.0000 4.4436 12.4415
Ho 3.8483 2.2218 12.4415
Ho 0.0000 4.4436 4.1472
```

Its volume is 851.01 Å³ per cell. The magnetic moment is 5.00 μB/f.u. The density of states at the Fermi level comes out at 0.00 states/eV per atom. For the energy, the calculation gives -3.760 eV/atom.

Table of theoretical density (g cm⁻³), in record order: 4.73; 6.91; 4.16